No. 1
Crystalline Pm2PrEr5 at its relaxed geometry. Source: the Alexandria database, functional PBE.

The distance to the lowest polymorph of the same formula comes out at 0.000 eV/atom. The formation energy comes out at 0.021 eV per atom. The total magnetic moment comes out at 0.0 Bohr magnetons per cell.

Unit cell a=5.0400 b=7.1357 c=14.2843 alpha=90.00 beta=90.00 gamma=90.00
Fractional coordinates of all 16 atoms:
Pr1 0.0000 0.0000 0.5000
Pr2 0.0000 0.5000 0.0000
Er1 0.0000 0.0033 0.7514
Er2 0.5000 0.2481 0.3741
Er3 0.0000 0.5033 0.7486
Er4 0.0000 0.9967 0.2486
Er5 0.5000 0.7519 0.6259
Er6 0.5000 0.2519 0.8741
Er7 0.0000 0.4967 0.2514
Er8 0.0000 0.0000 0.0000
Er9 0.0000 0.5000 0.5000
Er10 0.5000 0.7481 0.1259
Pm1 0.5000 0.7464 0.3739
Pm2 0.5000 0.2464 0.1261
Pm3 0.5000 0.2536 0.6261
Pm4 0.5000 0.7536 0.8739

***

No. 2
Crystalline Nd4IrPt2 at its relaxed geometry. Source: the Alexandria database, functional PBE.

The distance to the lowest polymorph of the same formula comes out at 0.041 eV/atom. The formation energy comes out at -0.785 eV per atom. The total magnetic moment comes out at 0.0 Bohr magnetons per cell.

Unit cell a=7.9759 b=7.9767 c=7.9771 alpha=110.08 beta=110.03 gamma=108.32
Fractional coordinates of all 14 atoms:
Nd1 0.3715 0.0682 0.3036
Nd2 0.7645 0.0679 0.6963
Nd3 0.9322 0.6286 0.6967
Nd4 0.3181 0.1214 0.8036
Nd5 0.3178 0.5144 0.1963
Nd6 0.9319 0.2356 0.3034
Nd7 0.4856 0.6819 0.8034
Nd8 0.8785 0.6821 0.1967
Pt1 0.6252 0.3750 0.7502
Pt2 0.6248 0.8750 0.2498
Pt3 0.6250 0.3752 0.2502
Pt4 0.1250 0.3748 0.7498
Ir1 0.2496 0.7495 0.5000
Ir2 0.0004 0.0005 0.0000

***

No. 3
Crystalline SrIn2TeO8 at its relaxed geometry. Source: the Alexandria database, functional PBE.

The formation energy from raw total energies is -1.310 eV per atom. The total magnetic moment comes out at 0.9 Bohr magnetons per cell.

Unit cell a=4.9493 b=4.6833 c=7.1535 alpha=90.00 beta=90.00 gamma=89.39
Each line ends with the local moment (μB).
Fractional coordinates of all 12 atoms:
In1 0.5000 0.5000 0.7650  -0.01
In2 0.5000 0.5000 0.2350  -0.01
O1 0.5369 0.7468 0.5000  0.02
O2 0.6839 0.7454 0.0000  0.17
O3 0.1550 0.7779 0.7982  0.09
O4 0.4631 0.2532 0.5000  0.02
O5 0.8450 0.2221 0.7982  0.09
O6 0.1550 0.7779 0.2018  0.09
O7 0.8450 0.2221 0.2018  0.09
O8 0.3161 0.2546 0.0000  0.17
Sr1 0.0000 0.0000 0.5000  0.00
Te1 0.0000 0.0000 0.0000  -0.01

***

No. 4
Crystalline NbFeSe2 at its relaxed geometry. Source: the Alexandria database, functional PBE.

The formation energy from raw total energies is 0.095 eV per atom. The total magnetic moment comes out at 1.4 Bohr magnetons per cell.

Unit cell a=8.5112 b=8.5112 c=8.5112 alpha=21.41 beta=21.41 gamma=21.41
Each line ends with the local moment (μB).
Fractional coordinates of all 4 atoms:
Se1 0.8958 0.8958 0.8958  0.01
Se2 0.1042 0.1042 0.1042  0.01
Nb1 0.0000 0.0000 0.0000  -0.12
Fe1 0.5000 0.5000 0.5000  1.57

***

No. 5
Crystalline TbYHoLu at its relaxed geometry. Source: the Alexandria database, functional PBE.

The formation energy comes out at 0.132 eV per atom. The total magnetic moment comes out at 0.0 Bohr magnetons per cell.

Unit cell a=5.6348 b=5.6348 c=5.6348 alpha=60.00 beta=60.00 gamma=60.00
Fractional coordinates of all 4 atoms:
Ho1 0.0000 0.0000 0.0000
Y1 0.7500 0.7500 0.7500
Lu1 0.5000 0.5000 0.5000
Tb1 0.2500 0.2500 0.2500

***

No. 6
Crystalline CsHf2AsCl at its relaxed geometry. Source: the Alexandria database, functional PBE.

The formation energy from raw total energies is 0.702 eV per atom. The total magnetic moment comes out at 0.0 Bohr magnetons per cell.

Unit cell a=4.8884 b=5.7664 c=4.8884 alpha=90.00 beta=90.00 gamma=90.00
Fractional coordinates of all 5 atoms:
As1 0.0000 0.5000 0.0000
Cs1 0.5000 0.5000 0.5000
Hf1 0.5000 0.0000 0.0000
Hf2 0.0000 0.0000 0.5000
Cl1 0.0000 0.0000 0.0000

***

No. 7
Crystalline TiSb2HIr at its relaxed geometry. Source: the Alexandria database, functional PBE.

The total magnetic moment comes out at 0.0 Bohr magnetons per cell. The value obtained for the electronic total energy is -23.8 eV/cell.

Unit cell a=5.1053 b=4.9440 c=5.1053 alpha=90.00 beta=90.00 gamma=90.00
Each line ends with the local moment (μB).
Fractional coordinates of all 5 atoms:
Sb1 0.5000 0.0000 0.0000  -0.03
Sb2 0.0000 0.0000 0.5000  -0.04
Ti1 0.0000 0.5000 0.0000  0.09
H1 0.5000 0.5000 0.5000  0.04
Ir1 0.0000 0.0000 0.0000  -0.06

***

No. 8
Crystalline PuCoB2 at its relaxed geometry. Source: the Alexandria database, functional PBE.

The distance to the lowest polymorph of the same formula comes out at 0.000 eV/atom. The formation energy comes out at -0.357 eV per atom. The total magnetic moment comes out at 10.1 Bohr magnetons per cell.

Unit cell a=3.0574 b=5.3035 c=6.0670 alpha=90.00 beta=104.59 gamma=90.00
Each line ends with the local moment (μB).
Fractional coordinates of all 8 atoms:
Co1 0.6589 0.7500 0.3179  -0.16
Co2 0.3411 0.2500 0.6821  -0.16
B1 0.7460 0.0874 0.4919  -0.04
B2 0.7460 0.4126 0.4919  -0.04
B3 0.2540 0.9126 0.5081  -0.04
B4 0.2540 0.5874 0.5081  -0.04
Pu1 0.9280 0.7500 0.8559  5.10
Pu2 0.0720 0.2500 0.1441  5.10